Entry 1:
{"formula": "ScNbSbI2", "functional": "PBE", "state": "optimized geometry", "lattice_angstrom": [[5.516, 0.000, 0.000], [0.000, 5.516, 0.000], [0.000, 0.000, 5.528]], "species": ["Nb", "Sc", "Sb", "I", "I"], "fractional_positions": [[0.000, 0.000, 0.000], [0.500, 0.500, 0.500], [0.000, 0.000, 0.500], [0.000, 0.500, 0.000], [0.500, 0.000, 0.000]], "raw_formation_energy_mev_per_atom": 412, "space_group": "No. 123"}

=====

Entry 2:
{"formula": "ThTe2Pd", "functional": "PBE", "state": "optimized geometry", "lattice_angstrom": [[4.263, 0.000, 0.000], [0.000, 8.717, 0.000], [0.000, 0.000, 12.240]], "species": ["Te", "Th", "Th", "Th", "Pd", "Te", "Pd", "Te", "Pd", "Te", "Pd", "Th", "Te", "Te", "Te", "Te"], "fractional_positions": [[0.250, 0.527, 0.709], [0.250, 0.687, 0.161], [0.750, 0.313, 0.839], [0.250, 0.187, 0.339], [0.250, 0.036, 0.572], [0.750, 0.973, 0.209], [0.750, 0.964, 0.428], [0.750, 0.473, 0.291], [0.250, 0.536, 0.928], [0.750, 0.745, 0.958], [0.750, 0.464, 0.072], [0.750, 0.813, 0.661], [0.250, 0.255, 0.042], [0.250, 0.755, 0.458], [0.750, 0.245, 0.542], [0.250, 0.027, 0.791]], "raw_formation_energy_mev_per_atom": -984, "space_group": "No. 62"}

=====

Entry 3:
{"formula": "Pm4B3Pt12Rh", "functional": "PBE", "state": "optimized geometry", "lattice_angstrom": [[7.788, 0.000, 0.000], [-2.596, 7.342, 0.000], [-2.596, -3.671, 6.359]], "species": ["B", "Pt", "Pt", "Pt", "Pt", "B", "Rh", "B", "Pt", "Pt", "Pt", "Pm", "Pt", "Pt", "Pt", "Pm", "Pm", "Pt", "Pm", "Pt"], "fractional_positions": [[0.500, 0.500, 0.000], [0.720, 0.000, 0.720], [0.750, 0.250, 0.500], [0.000, 0.720, 0.720], [0.250, 0.500, 0.750], [0.500, 0.000, 0.500], [0.000, 0.000, 0.000], [0.000, 0.500, 0.500], [0.000, 0.280, 0.280], [0.750, 0.500, 0.250], [0.500, 0.250, 0.750], [0.500, 0.500, 0.500], [0.720, 0.720, 0.000], [0.250, 0.750, 0.500], [0.280, 0.280, 0.000], [0.500, 0.000, 0.000], [0.000, 0.000, 0.500], [0.280, 0.000, 0.280], [0.000, 0.500, 0.000], [0.500, 0.750, 0.250]], "delta_e_f_mev_per_atom": -584, "space_group": "No. 229"}

=====

Entry 4:
{"formula": "YReB2C", "functional": "PBE", "state": "optimized geometry", "lattice_angstrom": [[4.395, 0.000, 0.000], [0.000, 5.172, 0.000], [0.000, 0.000, 4.395]], "species": ["B", "Y", "C", "Re", "B"], "fractional_positions": [[0.000, 0.000, 0.500], [0.000, 0.000, 0.000], [0.500, 0.500, 0.500], [0.000, 0.500, 0.000], [0.500, 0.000, 0.000]], "delta_e_f_mev_per_atom": 3919, "space_group": "No. 123"}

=====

Entry 5:
{"formula": "ZrCrCl2", "functional": "PBE", "state": "optimized geometry", "lattice_angstrom": [[7.488, 0.290, -0.021], [4.929, 5.644, 0.021], [-5.679, -4.075, 2.701]], "species": ["Cl", "Zr", "Cr", "Cl"], "fractional_positions": [[0.103, 0.103, 0.000], [0.250, 0.750, 0.500], [0.750, 0.250, 0.500], [0.397, 0.397, 0.000]], "raw_formation_energy_mev_per_atom": -464, "space_group": "No. 71"}

=====

Entry 6:
{"formula": "LiSm2Sc3Se6", "functional": "PBE", "state": "optimized geometry", "lattice_angstrom": [[-0.229, -5.667, 3.909], [0.996, -0.532, -6.795], [6.204, 2.452, 1.886]], "species": ["Sc", "Sc", "Se", "Li", "Se", "Se", "Se", "Se", "Sm", "Sm", "Sc", "Se"], "fractional_positions": [[0.168, 0.832, 0.500], [0.832, 0.168, 0.500], [0.912, 0.591, 0.735], [0.000, 0.000, 0.000], [0.769, 0.769, 0.262], [0.591, 0.912, 0.735], [0.231, 0.231, 0.738], [0.088, 0.409, 0.265], [0.666, 0.334, 0.000], [0.334, 0.666, 0.000], [0.500, 0.500, 0.500], [0.409, 0.088, 0.265]], "raw_formation_energy_mev_per_atom": -1674, "space_group": "No. 12"}

=====

Entry 7:
{"formula": "AlSiOF2", "functional": "PBE", "state": "optimized geometry", "lattice_angstrom": [[4.001, 0.000, 0.000], [0.000, 4.001, 0.000], [0.000, 0.000, 3.581]], "species": ["F", "Al", "F", "O", "Si"], "fractional_positions": [[0.500, 0.000, 0.000], [0.000, 0.000, 0.000], [0.000, 0.500, 0.000], [0.000, 0.000, 0.500], [0.500, 0.500, 0.500]], "raw_formation_energy_mev_per_atom": -1764, "space_group": "No. 123"}

=====

Entry 8:
{"formula": "CaCrCd", "functional": "PBE", "state": "optimized geometry", "lattice_angstrom": [[-2.181, 4.136, -1.683], [-3.286, -0.260, -3.719], [-4.824, 0.802, 0.885]], "species": ["Cd", "Ca", "Cr"], "fractional_positions": [[0.750, 0.750, 0.750], [0.500, 0.500, 0.500], [0.000, 0.000, 0.000]], "delta_e_f_mev_per_atom": 500, "space_group": "No. 216"}

=====

Entry 9:
{"formula": "PuP2N4", "functional": "PBE", "state": "optimized geometry", "lattice_angstrom": [[3.620, 0.000, -1.448], [-0.579, 3.573, -1.448], [0.489, 0.574, 6.472]], "species": ["P", "P", "N", "N", "N", "N", "Pu"], "fractional_positions": [[0.250, 0.750, 0.500], [0.750, 0.250, 0.500], [0.920, 0.420, 0.340], [0.580, 0.580, 0.660], [0.080, 0.080, 0.660], [0.420, 0.920, 0.340], [0.500, 0.500, 0.000]], "raw_formation_energy_mev_per_atom": -337, "space_group": "No. 121"}

=====

Entry 10:
{"formula": "Ba3Sn3Au", "functional": "PBE", "state": "optimized geometry", "lattice_angstrom": [[-3.165, -3.523, -1.796], [3.044, -4.001, -4.658], [2.557, -11.527, 10.961]], "species": ["Ba", "Ba", "Ba", "Sn", "Au", "Sn", "Ba", "Ba", "Ba", "Sn", "Au", "Sn", "Sn", "Sn"], "fractional_positions": [[0.234, 0.304, 0.228], [0.421, 0.764, 0.394], [0.405, 0.270, 0.921], [0.879, 0.690, 0.551], [0.718, 0.191, 0.372], [0.121, 0.310, 0.449], [0.579, 0.236, 0.606], [0.595, 0.730, 0.079], [0.766, 0.696, 0.772], [0.889, 0.148, 0.075], [0.282, 0.809, 0.628], [0.111, 0.852, 0.925], [0.938, 0.893, 0.230], [0.062, 0.107, 0.770]], "delta_e_f_mev_per_atom": -686, "space_group": "No. 12"}

=====

Entry 11:
{"formula": "La2Tb3Se8", "functional": "PBE", "state": "optimized geometry", "lattice_angstrom": [[-5.212, -2.406, 4.185], [4.793, -6.594, 2.177], [1.973, 7.741, 2.751]], "species": ["Tb", "Se", "La", "Se", "La", "Tb", "Se", "Se", "Tb", "Se", "Se", "Se", "Se"], "fractional_positions": [[0.000, 0.739, 0.000], [0.079, 0.886, 0.772], [0.341, 0.263, 0.525], [0.411, 0.886, 0.239], [0.659, 0.737, 0.475], [0.500, 0.000, 0.000], [0.411, 0.353, 0.239], [0.589, 0.114, 0.761], [0.000, 0.261, 0.000], [0.589, 0.647, 0.761], [0.065, 0.378, 0.755], [0.935, 0.622, 0.245], [0.921, 0.114, 0.228]], "raw_formation_energy_mev_per_atom": -1787, "space_group": "No. 12"}

=====

Entry 12:
{"formula": "DyTlCl", "functional": "PBE", "state": "optimized geometry", "lattice_angstrom": [[-2.474, 1.982, 2.172], [-5.235, -5.989, 2.901], [3.225, -0.117, 3.779]], "species": ["Tl", "Cl", "Tl", "Cl", "Dy", "Dy"], "fractional_positions": [[0.941, 0.119, 0.784], [0.764, 0.472, 0.252], [0.059, 0.881, 0.216], [0.236, 0.528, 0.748], [0.376, 0.249, 0.331], [0.624, 0.751, 0.669]], "raw_formation_energy_mev_per_atom": -1022, "space_group": "No. 12"}

=====

How do the records compare in ρ? In the order shown, they have 5.07, 8.67, 13.96, 5.13, 3.21, 5.67, 3.16, 3.91, 6.70, 6.25, 5.57, 8.56 g/cm³.